Entry 1:
# AlFe2Mo, relaxed, DFT PBE
# V ... 49.7 Å³ per cell
# ΔE_f ... -150 meV/atom
# E_tot ... -32.10 eV for the cell shown
# Fermi-level density of states ... 0.813 states/eV per atom
data_AlFe2Mo
_cell_length_a 2.876
_cell_length_b 2.876
_cell_length_c 6.010
_cell_angle_alpha 90.00
_cell_angle_beta 90.00
_cell_angle_gamma 90.00
_symmetry_space_group_name_H-M 'P 4/m m m'
_symmetry_Int_Tables_number 123
_symmetry_space_group_name_Hall '-P 4 2'
loop_
_atom_site_label
_atom_site_type_symbol
_atom_site_fract_x
_atom_site_fract_y
_atom_site_fract_z
_atom_site_occupancy
Al1 Al 0.000 0.000 0.000 1
Fe1 Fe 0.500 0.500 0.241 1
Mo1 Mo 0.000 0.000 0.500 1

Entry 2:
# LaCd6Ag6, relaxed, DFT PBE
# V ... 554.1 Å³ per cell
# ΔE_f ... -142 meV/atom
# E_tot ... -58.73 eV for the cell shown
# Fermi-level density of states ... 0.506 states/eV per atom
data_LaCd6Ag6
_cell_length_a 5.592
_cell_length_b 9.899
_cell_length_c 10.011
_cell_angle_alpha 90.00
_cell_angle_beta 90.00
_cell_angle_gamma 90.00
_symmetry_space_group_name_H-M 'I m m m'
_symmetry_Int_Tables_number 71
_symmetry_space_group_name_Hall '-I 2 2'
loop_
_atom_site_label
_atom_site_type_symbol
_atom_site_fract_x
_atom_site_fract_y
_atom_site_fract_z
_atom_site_occupancy
La1 La 0.000 0.000 0.000 1
Cd1 Cd 0.000 0.000 0.349 1
Cd2 Cd 0.000 0.348 0.000 1
Cd3 Cd 0.000 0.500 0.301 1
Ag1 Ag 0.000 0.279 0.500 1
Ag2 Ag 0.250 0.250 0.250 1